(1)
{"formula": "ScCd2OsF", "functional": "GGA-PBE", "state": "relaxed", "sg": "No. 123", "e_tot_ev_per_cell": -19.72, "e_form_raw_mev_per_atom": 309, "dos_at_fermi_per_ev_fu": 3.4, "cell": [[-3.214, -3.486, -2.820], [1.783, -2.896, 1.548], [-3.630, -0.014, 4.154]], "species": ["Sc", "F", "Os", "Cd", "Cd"], "frac_coords": [[0.000, 0.000, 0.000], [0.000, 0.500, 0.000], [0.500, 0.500, 0.500], [0.000, 0.000, 0.500], [0.500, 0.000, 0.000]]}



(2)
{"formula": "CdTc2OsF", "functional": "GGA-PBE", "state": "relaxed", "sg": "No. 123", "e_tot_ev_per_cell": -30.15, "e_form_raw_mev_per_atom": 920, "dos_at_fermi_per_ev_fu": 5.3, "cell": [[4.818, 0.000, 0.000], [0.000, 3.972, 0.000], [0.000, 0.000, 4.818]], "species": ["F", "Os", "Tc", "Tc", "Cd"], "frac_coords": [[0.000, 0.500, 0.000], [0.000, 0.000, 0.000], [0.000, 0.000, 0.500], [0.500, 0.000, 0.000], [0.500, 0.500, 0.500]]}



(3)
{"formula": "TlCdOs2F", "functional": "GGA-PBE", "state": "relaxed", "sg": "No. 123", "e_tot_ev_per_cell": -19.21, "e_form_raw_mev_per_atom": 1680, "dos_at_fermi_per_ev_fu": 4.7, "cell": [[5.140, 0.000, 0.000], [0.000, 4.508, 0.000], [0.000, 0.000, 5.140]], "species": ["Tl", "F", "Os", "Os", "Cd"], "frac_coords": [[0.000, 0.000, 0.000], [0.000, 0.500, 0.000], [0.000, 0.000, 0.500], [0.500, 0.000, 0.000], [0.500, 0.500, 0.500]]}